Entry P
LiAl2Os after structural relaxation, computed with GGA-PBEsol.

Lattice parameters (Å, degrees): 3.1454 4.0223 4.9383 114.03 108.57 90.00
Last column: nearest neighbours and their distance in Å.
Fractional coordinates of all 4 atoms:
Os: 0.2489 0.2489 0.4979  6 Al 2.55-2.59, 2 Li 2.60
Al: 0.9916 0.4916 0.9833  4 Li 2.56, 2 Os 2.59, 4 Al 2.73-2.84
Al: 0.7549 0.7549 0.5099  4 Os 2.55, 2 Li 2.63, 4 Al 2.73-2.84
Li: 0.5044 0.0044 0.0089  6 Al 2.56-2.63, 2 Os 2.60


Entry Q
LiAl2Os after structural relaxation, computed with GGA-PBEsol.

Lattice parameters (Å, degrees): 4.2428 4.2428 4.2428 60.00 60.00 60.00
Last column: nearest neighbours and their distance in Å.
Fractional coordinates of all 4 atoms:
Os: 0.0000 0.0000 0.0000  8 Al 2.60
Al: 0.2500 0.2500 0.2500  4 Li 2.60, 4 Os 2.60
Al: 0.7500 0.7500 0.7500  4 Os 2.60, 4 Li 2.60
Li: 0.5000 0.5000 0.5000  8 Al 2.60


Taking the most stable structure as the zero point, the relative energies in meV/atom are entry P 80; entry Q 0.